No. 1
# RbAg3Te2 GGA-PBEsol optimized geometry
data_RbAg3Te2
_chemical_formula_sum 'Rb4 Ag12 Te8'
_cell_length_a 17.201
_cell_length_b 4.507
_cell_length_c 9.141
_cell_angle_alpha 90.00
_cell_angle_beta 112.70
_cell_angle_gamma 90.00
_symmetry_space_group_name_H-M 'C 1 2/m 1'
_symmetry_Int_Tables_number 12
loop_
_symmetry_equiv_pos_as_xyz
'x,y,z'
'-x,-y,-z'
'-x,y,-z'
'x,-y,z'
'x+1/2,y+1/2,z'
'-x+1/2,-y+1/2,-z'
'-x+1/2,y+1/2,-z'
'x+1/2,-y+1/2,z'
loop_
_atom_site_label
_atom_site_fract_x
_atom_site_fract_y
_atom_site_fract_z
Rb1 0.138 0.000 0.050
Ag1 0.057 0.000 0.408
Ag2 0.084 0.500 0.625
Ag3 0.190 0.500 0.457
Te1 0.021 0.500 0.217
Te2 0.199 0.000 0.696
# Total moment in μB per formula unit: 0.00
# E_form (uncorrected) in meV per atom: -359



No. 2
# Rb2TlAg GGA-PBEsol optimized geometry
data_Rb2TlAg
_chemical_formula_sum 'Rb8 Tl4 Ag4'
_cell_length_a 8.479
_cell_length_b 8.479
_cell_length_c 8.479
_cell_angle_alpha 90.00
_cell_angle_beta 90.00
_cell_angle_gamma 90.00
_symmetry_space_group_name_H-M 'F m -3 m'
_symmetry_Int_Tables_number 225
_symmetry_space_group_name_Hall '-F 4 2 3'
loop_
_atom_site_label
_atom_site_fract_x
_atom_site_fract_y
_atom_site_fract_z
Rb1 0.250 0.250 0.250
Tl1 0.000 0.000 0.000
Ag1 0.000 0.000 0.500
# Total moment in μB per formula unit: 0.16
# DFT formation energy in kJ/mol of formula units: 99



No. 3
# RbTl3Ag GGA-PBEsol optimized geometry
data_RbTl3Ag
_chemical_formula_sum 'Rb1 Tl3 Ag1'
_cell_length_a 6.102
_cell_length_b 6.102
_cell_length_c 6.102
_cell_angle_alpha 90.00
_cell_angle_beta 90.00
_cell_angle_gamma 90.00
_symmetry_space_group_name_H-M 'P m -3 m'
_symmetry_Int_Tables_number 221
_symmetry_space_group_name_Hall '-P 4 2 3'
loop_
_atom_site_label
_atom_site_fract_x
_atom_site_fract_y
_atom_site_fract_z
Rb1 0.000 0.000 0.000
Tl1 0.000 0.000 0.500
Ag1 0.500 0.500 0.500
# Total moment in μB per formula unit: 0.00
# DFT formation energy in kJ/mol of formula units: 534



No. 4
# RbYAg3 GGA-PBEsol optimized geometry
data_RbYAg3
_chemical_formula_sum 'Rb1 Y1 Ag3'
_cell_length_a 5.380
_cell_length_b 5.380
_cell_length_c 5.380
_cell_angle_alpha 90.00
_cell_angle_beta 90.00
_cell_angle_gamma 90.00
_symmetry_space_group_name_H-M 'P m -3 m'
_symmetry_Int_Tables_number 221
_symmetry_space_group_name_Hall '-P 4 2 3'
loop_
_atom_site_label
_atom_site_fract_x
_atom_site_fract_y
_atom_site_fract_z
Rb1 0.000 0.000 0.000
Y1 0.500 0.500 0.500
Ag1 0.000 0.000 0.500
# Total moment in μB per formula unit: 0.00
# DFT formation energy in kJ/mol of formula units: 555



No. 5
# Rb3ZrAg GGA-PBEsol optimized geometry
data_Rb3ZrAg
_chemical_formula_sum 'Rb3 Zr1 Ag1'
_cell_length_a 6.474
_cell_length_b 6.474
_cell_length_c 6.474
_cell_angle_alpha 90.00
_cell_angle_beta 90.00
_cell_angle_gamma 90.00
_symmetry_space_group_name_H-M 'P m -3 m'
_symmetry_Int_Tables_number 221
_symmetry_space_group_name_Hall '-P 4 2 3'
loop_
_atom_site_label
_atom_site_fract_x
_atom_site_fract_y
_atom_site_fract_z
Rb1 0.000 0.000 0.500
Zr1 0.500 0.500 0.500
Ag1 0.000 0.000 0.000
# Total moment in μB per formula unit: 4.00
# DFT formation energy in kJ/mol of formula units: 524



No. 6
# ReAg2Rh GGA-PBEsol optimized geometry
data_ReAg2Rh
_chemical_formula_sum 'Re2 Ag4 Rh2'
_cell_length_a 8.967
_cell_length_b 2.711
_cell_length_c 5.031
_cell_angle_alpha 90.00
_cell_angle_beta 98.07
_cell_angle_gamma 90.00
_symmetry_space_group_name_H-M 'C 1 m 1'
_symmetry_Int_Tables_number 8
loop_
_symmetry_equiv_pos_as_xyz
'x,y,z'
'x,-y,z'
'x+1/2,y+1/2,z'
'x+1/2,-y+1/2,z'
loop_
_atom_site_label
_atom_site_fract_x
_atom_site_fract_y
_atom_site_fract_z
Re1 0.000 0.000 0.000
Ag1 0.006 0.500 0.519
Ag2 0.253 0.500 0.299
Rh1 0.257 0.000 0.823
# Energy relative to the lowest polymorph listed for this composition in meV/atom: 0
# Total moment in μB per formula unit: 0.00
# DFT formation energy in kJ/mol of formula units: 143



No. 7
# Re3AgRh GGA-PBEsol optimized geometry
data_Re3AgRh
_chemical_formula_sum 'Re3 Ag1 Rh1'
_cell_length_a 4.594
_cell_length_b 4.594
_cell_length_c 4.594
_cell_angle_alpha 90.00
_cell_angle_beta 90.00
_cell_angle_gamma 90.00
_symmetry_space_group_name_H-M 'P m -3 m'
_symmetry_Int_Tables_number 221
_symmetry_space_group_name_Hall '-P 4 2 3'
loop_
_atom_site_label
_atom_site_fract_x
_atom_site_fract_y
_atom_site_fract_z
Re1 0.000 0.000 0.500
Ag1 0.000 0.000 0.000
Rh1 0.500 0.500 0.500
# Total moment in μB per formula unit: 0.00
# DFT formation energy in kJ/mol of formula units: 1576



No. 8
# ReAg2Rh GGA-PBEsol optimized geometry
data_ReAg2Rh
_chemical_formula_sum 'Re2 Ag4 Rh2'
_cell_length_a 2.744
_cell_length_b 4.600
_cell_length_c 9.692
_cell_angle_alpha 90.00
_cell_angle_beta 90.00
_cell_angle_gamma 90.00
_symmetry_space_group_name_H-M 'I m m m'
_symmetry_Int_Tables_number 71
_symmetry_space_group_name_Hall '-I 2 2'
loop_
_atom_site_label
_atom_site_fract_x
_atom_site_fract_y
_atom_site_fract_z
Re1 0.000 0.000 0.000
Ag1 0.000 0.500 0.249
Rh1 0.000 0.000 0.500
# Energy relative to the lowest polymorph listed for this composition in meV/atom: 159
# Total moment in μB per formula unit: 0.00
# DFT formation energy in kJ/mol of formula units: 205



No. 9
# Re2AgRh GGA-PBEsol optimized geometry
data_Re2AgRh
_chemical_formula_sum 'Re4 Ag2 Rh2'
_cell_length_a 9.291
_cell_length_b 2.721
_cell_length_c 4.700
_cell_angle_alpha 90.00
_cell_angle_beta 100.42
_cell_angle_gamma 90.00
_symmetry_space_group_name_H-M 'C 1 2/m 1'
_symmetry_Int_Tables_number 12
loop_
_symmetry_equiv_pos_as_xyz
'x,y,z'
'-x,-y,-z'
'-x,y,-z'
'x,-y,z'
'x+1/2,y+1/2,z'
'-x+1/2,-y+1/2,-z'
'-x+1/2,y+1/2,-z'
'x+1/2,-y+1/2,z'
loop_
_atom_site_label
_atom_site_fract_x
_atom_site_fract_y
_atom_site_fract_z
Re1 0.242 0.000 0.240
Ag1 0.000 0.000 0.500
Rh1 0.000 0.500 0.000
# Total moment in μB per formula unit: 0.00
# DFT formation energy in kJ/mol of formula units: 129



No. 10
# Re2AgRu GGA-PBEsol optimized geometry
data_Re2AgRu
_chemical_formula_sum 'Re6 Ag3 Ru3'
_cell_length_a 2.7132
_cell_length_b 2.7132
_cell_length_c 27.6439
_cell_angle_alpha 90.00
_cell_angle_beta 90.00
_cell_angle_gamma 120.00
_symmetry_space_group_name_H-M 'R -3 m'
_symmetry_Int_Tables_number 166
_symmetry_space_group_name_Hall '-R 3 2"'
loop_
_atom_site_label
_atom_site_fract_x
_atom_site_fract_y
_atom_site_fract_z
Re1 0.0000 0.0000 0.2450
Ag1 0.0000 0.0000 0.0000
Ru1 0.0000 0.0000 0.5000
# Energy relative to the lowest polymorph listed for this composition in meV/atom: 0
# Total moment in μB per formula unit: 0.00
# DFT formation energy in kJ/mol of formula units: 106



No. 11
# ReAgRu GGA-PBEsol optimized geometry
data_ReAgRu
_chemical_formula_sum 'Re2 Ag2 Ru2'
_cell_length_a 2.765
_cell_length_b 3.783
_cell_length_c 8.376
_cell_angle_alpha 90.00
_cell_angle_beta 90.00
_cell_angle_gamma 90.00
_symmetry_space_group_name_H-M 'I m m 2'
_symmetry_Int_Tables_number 44
loop_
_symmetry_equiv_pos_as_xyz
'x,y,z'
'-x,-y,z'
'-x,y,z'
'x,-y,z'
'x+1/2,y+1/2,z+1/2'
'-x+1/2,-y+1/2,z+1/2'
'-x+1/2,y+1/2,z+1/2'
'x+1/2,-y+1/2,z+1/2'
loop_
_atom_site_label
_atom_site_fract_x
_atom_site_fract_y
_atom_site_fract_z
Re1 0.000 0.000 0.000
Ag1 0.000 0.000 0.322
Ru1 0.000 0.000 0.645
# Total moment in μB per formula unit: 0.00
# DFT formation energy in kJ/mol of formula units: 123



No. 12
# Re2AgRu GGA-PBEsol optimized geometry
data_Re2AgRu
_chemical_formula_sum 'Re8 Ag4 Ru4'
_cell_length_a 6.177
_cell_length_b 6.177
_cell_length_c 6.177
_cell_angle_alpha 90.00
_cell_angle_beta 90.00
_cell_angle_gamma 90.00
_symmetry_space_group_name_H-M 'F -4 3 m'
_symmetry_Int_Tables_number 216
_symmetry_space_group_name_Hall 'F -4 2 3'
loop_
_atom_site_label
_atom_site_fract_x
_atom_site_fract_y
_atom_site_fract_z
Re1 0.000 0.000 0.000
Re2 0.250 0.250 0.250
Ag1 0.000 0.000 0.500
Ru1 0.250 0.250 0.750
# Energy relative to the lowest polymorph listed for this composition in meV/atom: 338
# Total moment in μB per formula unit: 0.00
# DFT formation energy in kJ/mol of formula units: 237



Number 1: E -0.124 Ha/atom. Number 2: E -0.064 Ha/atom. Number 3: E -0.049 Ha/atom. Number 4: E -0.088 Ha/atom. Number 5: E -0.074 Ha/atom. Number 6: E -0.244 Ha/atom. Number 7: E -0.258 Ha/atom. Number 8: E -0.239 Ha/atom. Number 9: E -0.338 Ha/atom. Number 10: E -0.359 Ha/atom. Number 11: E -0.313 Ha/atom. Number 12: E -0.346 Ha/atom.